[1]
First-principles (PBE) data for NaCuSN2 after structural relaxation, as listed in Alexandria.

Results
Calculated volume   19.36 A^3/atom
ΔE to the lowest computed polymorph   98.5 kJ per mole of atoms
E   -3.0591 eV/atom

Cell: 4.2555 4.2555 5.3462 Å, 90.00 90.00 90.00°
Each line ends with the local moment (μB).
Fractional positions:
Cu 0.5000 0.5000 0.5000  0.12
N 0.5000 0.0000 0.0000  1.71
N 0.0000 0.5000 0.0000  1.71
S 0.0000 0.0000 0.5000  0.37
Na 0.0000 0.0000 0.0000  0.05

=====

[2]
First-principles (PBE) data for NaCuSN2 after structural relaxation, as listed in Alexandria.

Results
Calculated volume   14.98 A^3/atom
ΔE to the lowest computed polymorph   0.0 kJ per mole of atoms
E   -4.0796 eV/atom

Cell: 3.9043 3.9043 4.9128 Å, 90.00 90.00 90.00°
Each line ends with the local moment (μB).
Fractional positions:
N 0.0000 0.5000 0.0000  1.10
N 0.5000 0.0000 0.0000  1.10
Cu 0.0000 0.0000 0.0000  0.17
S 0.0000 0.0000 0.5000  0.28
Na 0.5000 0.5000 0.5000  0.00

=====

[3]
First-principles (PBE) data for NaCuSe2N after structural relaxation, as listed in Alexandria.

Results
Calculated volume   19.25 A^3/atom
ΔE to the lowest computed polymorph   0.0 kJ per mole of atoms
E   -3.6866 eV/atom

Cell: 5.2099 5.2099 3.5454 Å, 90.00 90.00 90.00°
Each line ends with the local moment (μB).
Fractional positions:
Se 0.0000 0.5000 0.0000  -0.01
Se 0.5000 0.0000 0.0000  -0.01
N 0.0000 0.0000 0.5000  0.67
Cu 0.0000 0.0000 0.0000  0.13
Na 0.5000 0.5000 0.5000  0.00

=====

[4]
First-principles (PBE) data for NaCuSe2N after structural relaxation, as listed in Alexandria.

Results
Calculated volume   22.86 A^3/atom
ΔE to the lowest computed polymorph   98.5 kJ per mole of atoms
E   -2.6658 eV/atom

Cell: 5.1596 5.1596 4.2941 Å, 90.00 90.00 90.00°
Each line ends with the local moment (μB).
Fractional positions:
Se 0.5000 0.0000 0.0000  0.26
Se 0.0000 0.5000 0.0000  0.26
Na 0.0000 0.0000 0.0000  0.02
N 0.0000 0.0000 0.5000  1.69
Cu 0.5000 0.5000 0.5000  0.05

=====

[5]
First-principles (PBE) data for Na2Sr6CuN after structural relaxation, as listed in Alexandria.

Results
Calculated volume   38.18 A^3/atom
E   -2.6516 eV/atom

Cell: 8.1386 8.1386 8.1435 Å, 119.97 119.97 89.96°
Fractional positions:
Sr 0.7672 0.2332 0.9997
Sr 0.2326 0.7676 0.9998
Sr 0.2326 0.2330 0.9997
Sr 0.2326 0.2332 0.4653
Sr 0.7671 0.7678 0.9999
Sr 0.7671 0.7676 0.5342
Na 0.2499 0.7504 0.4998
Na 0.7499 0.2503 0.4998
N 0.0000 0.0005 0.9999
Cu 0.4999 0.5003 0.9998

=====

[6]
First-principles (PBE) data for NaSr2CuN2 after structural relaxation, as listed in Alexandria.

Results
Calculated volume   18.80 A^3/atom
E   -4.5205 eV/atom

Cell: 4.4820 6.4004 7.8632 Å, 90.00 90.00 90.00°
Fractional positions:
Na 0.5000 0.5000 0.0000
Na 0.0000 0.0000 0.5000
N 0.5000 0.2415 0.6079
N 0.5000 0.7585 0.3921
N 0.0000 0.7415 0.8921
N 0.0000 0.2585 0.1079
Sr 0.5000 0.8841 0.7421
Sr 0.5000 0.1159 0.2579
Sr 0.0000 0.3841 0.7579
Sr 0.0000 0.6159 0.2421
Cu 0.5000 0.5000 0.5000
Cu 0.0000 0.0000 0.0000

=====

no.,calculated density (Mg/m³),ΔE_f (raw) (kcal/mol of atoms)
1,2.515,50.26
2,3.251,26.73
3,4.460,10.50
4,3.754,34.04
5,2.823,-3.15
6,4.267,-6.51